A relaxed Sc2TaAs crystal. Source: the Alexandria database, functional PBE.

The structure in POSCAR format:
```
Sc2TaAs
1.0
3.4907 0.0000 0.0000
0.0000 3.4915 0.0000
0.0000 0.0000 6.3210
Sc Ta As
2 1 1
Direct
0.0000 0.0000 0.5161
0.0000 0.0000 0.9839
0.5000 0.5000 0.2500
0.5000 0.5000 0.7500
```

Summary:
* E_form: -1.64 eV per formula unit
* calculated total energy: -7.7024 eV/atom